[1]
DFT (PBE) results for crystalline KMg2Al at its relaxed geometry.

Computed properties:
DFT formation energy: 0.2533 eV/atom
Space-group type: Immm, No. 71
D(E_F): 0.526 states/eV per atom
Calculated total energy: -7.0 eV for the cell shown

Geometry as POSCAR:
```
KMg2Al
1.0
-1.396 2.411 -6.344
4.198 -1.372 -5.339
-4.474 -1.741 4.996
Mg Al K
2 1 1
Cartesian
2.676 0.992 -11.158
1.527 0.566 -6.366
-2.235 0.595 -3.595
0.562 -1.296 -3.092
```

=====

[2]
DFT (PBE) results for crystalline Nd2SmY4Ho2 at its relaxed geometry.

Computed properties:
DFT formation energy: 0.0796 eV/atom
Space-group type: P-1, No. 2
D(E_F): 1.667 states/eV per atom
Calculated total energy: -48.6 eV for the cell shown

Geometry as POSCAR:
```
Nd2SmY4Ho2
1.0
6.325 2.458 0.900
1.503 9.630 2.340
-3.336 -4.078 4.074
Y Sm Ho Nd
4 1 2 2
Cartesian
1.143 1.242 2.926
3.349 6.768 4.389
-0.852 -1.501 3.741
5.344 9.511 3.574
0.000 0.000 0.000
5.748 6.176 1.925
-1.256 1.834 5.389
0.683 4.519 4.239
3.808 3.492 3.076
```